DFT (PBE+U) results for an optimized crystal structure of Sm2Cr2S2O5.

Cell: 3.8686 3.8570 11.7280 Å, 99.48 99.49 90.00°
Closest atoms and distances in Å follow each position.
Atoms (fractional coordinates):
Sm 0.3390 0.3389 0.6779  4 O 2.40-2.41
Sm 0.6610 0.6611 0.3221  4 O 2.40-2.41
O 0.0977 0.5978 0.1955  2 Cr 1.98
O 0.4017 0.9016 0.8032  2 Cr 1.99
O 0.9023 0.4022 0.8045  2 Cr 1.98
O 0.5983 0.0984 0.1968  2 Cr 1.99
O 0.0000 0.0000 0.0000  2 Cr 1.78
S 0.2045 0.2049 0.4094  1 Cr 2.89, 5 Sm 2.91-3.06, 4 O 3.10-3.11
S 0.7955 0.7951 0.5906  1 Cr 2.89, 5 Sm 2.91-3.06, 4 O 3.10-3.11
Cr 0.9221 0.9221 0.8440  5 O 1.78-1.99
Cr 0.0779 0.0779 0.1560  5 O 1.78-1.99

Calculated values
The calculation puts the density of states at the Fermi level at 0.53 states/eV per atom. The energy comes out at -7.254 eV per atom. The value obtained for the magnetic moment is 0.401 μB per atom.